# Cs2K9Na6

A geometry-optimized Cs2K9Na6 structure (PBE, Alexandria).

```
Cs2K9Na6
1.0
-6.9677 4.4113 2.6170
-0.6928 -8.3868 -2.0094
3.9517 -4.7763 18.5726
Cs K Na
2 9 6
Direct
0.0000 0.0000 0.6623
0.0000 0.0000 0.3377
0.5000 0.0000 0.8345
0.0000 0.5000 0.8345
0.5000 0.5000 0.8345
0.5000 0.0000 0.1655
0.0000 0.5000 0.1655
0.5000 0.5000 0.1655
0.5000 0.0000 0.5000
0.0000 0.5000 0.5000
0.5000 0.5000 0.5000
0.3333 0.6667 0.0000
0.6667 0.3333 0.0000
0.3333 0.6667 0.6681
0.6667 0.3333 0.6681
0.6667 0.3333 0.3319
0.3333 0.6667 0.3319
```

Computed properties:
Fermi-level density of states = 10.19 states/eV/cell
size of the total moment = 0.0 μB/f.u.
space-group type = P6/mmm, No. 191
formation energy = 8 kJ per mole of atoms



# CsK3Na3

A geometry-optimized CsK3Na3 structure (PBE, Alexandria).

```
CsK3Na3
1.0
-4.0475 8.4842 -3.5714
-6.9051 -2.0726 -7.0101
-9.2632 1.3060 3.6885
Cs K Na
2 6 6
Direct
0.4080 0.4080 0.4080
0.5920 0.5920 0.5920
0.8556 0.3031 0.1026
0.1026 0.8556 0.3031
0.3031 0.1026 0.8556
0.6969 0.8974 0.1444
0.8974 0.1444 0.6969
0.1444 0.6969 0.8974
0.4341 0.3120 0.0335
0.3120 0.0335 0.4341
0.0335 0.4341 0.3120
0.9665 0.5659 0.6880
0.6880 0.9665 0.5659
0.5659 0.6880 0.9665
```

Computed properties:
Fermi-level density of states = 8.58 states/eV/cell
size of the total moment = 0.0 μB/f.u.
space-group type = R-3, No. 148
relative energy among the computed polymorphs = 0.13 eV per formula unit
formation energy = 6 kJ per mole of atoms



# Cs5KNa

A geometry-optimized Cs5KNa structure (PBE, Alexandria).

```
Cs5KNa
1.0
-2.2942 -3.0574 -8.4862
1.8942 -12.0712 1.1195
-12.1620 -1.2608 1.0248
Cs K Na
10 2 2
Direct
0.6057 0.1639 0.3205
0.6765 0.3270 0.9668
0.1057 0.3205 0.1639
0.7500 0.7316 0.2684
0.8235 0.0332 0.6730
0.1765 0.9668 0.3270
0.2500 0.2684 0.7316
0.8943 0.6795 0.8361
0.3235 0.6730 0.0332
0.3943 0.8361 0.6795
0.7500 0.4403 0.5597
0.2500 0.5597 0.4403
0.0000 0.0000 0.0000
0.5000 0.0000 0.0000
```

Computed properties:
Fermi-level density of states = 15.54 states/eV/cell
size of the total moment = 0.0 μB/f.u.
space-group type = C2/c, No. 15
formation energy = 3 kJ per mole of atoms



# Cs11K9Na4

A geometry-optimized Cs11K9Na4 structure (PBE, Alexandria).

```
Cs11K9Na4
1.0
5.3839 0.0000 0.0000
0.0000 18.5834 -8.0624
0.0000 -0.1108 20.2566
Cs K Na
11 9 4
Direct
0.0000 0.5873 0.9340
0.0000 0.4127 0.0660
0.0000 0.9340 0.5873
0.0000 0.0660 0.4127
0.0000 0.6290 0.3710
0.0000 0.3710 0.6290
0.0000 0.8425 0.1575
0.0000 0.1575 0.8425
0.0000 0.0000 0.0000
0.0000 0.6930 0.6930
0.0000 0.3070 0.3070
0.5000 0.6310 0.1628
0.5000 0.3690 0.8372
0.5000 0.1628 0.6310
0.5000 0.8372 0.3690
0.5000 0.7778 0.9181
0.5000 0.2222 0.0819
0.5000 0.9181 0.7778
0.5000 0.0819 0.2222
0.5000 0.5000 0.5000
0.5000 0.5501 0.7479
0.5000 0.4499 0.2521
0.5000 0.7479 0.5501
0.5000 0.2521 0.4499
```

Computed properties:
Fermi-level density of states = 20.24 states/eV/cell
size of the total moment = 0.0 μB/f.u.
space-group type = Cmmm, No. 65
formation energy = 2 kJ per mole of atoms



# Cs6KNa6

A geometry-optimized Cs6KNa6 structure (PBE, Alexandria).

```
Cs6KNa6
1.0
-3.2004 5.4004 5.4651
-10.9669 2.0366 -2.0970
-4.0358 -5.2856 9.1975
Cs K Na
6 1 6
Direct
0.3360 0.6640 0.6640
0.6640 0.3360 0.3360
0.0000 0.3192 0.6808
0.0000 0.6808 0.3192
0.3316 0.1684 0.1684
0.6684 0.8316 0.8316
0.0000 0.0000 0.0000
0.0000 0.5000 0.0000
0.5000 0.5000 0.0000
0.0000 0.0000 0.5000
0.5000 0.0000 0.5000
0.5000 0.7601 0.2399
0.5000 0.2399 0.7601
```

Computed properties:
Fermi-level density of states = 9.72 states/eV/cell
size of the total moment = 0.0 μB/f.u.
space-group type = Immm, No. 71
formation energy = 5 kJ per mole of atoms



# Cs2K5Na

A geometry-optimized Cs2K5Na structure (PBE, Alexandria).

```
Cs2K5Na
1.0
-5.5350 -6.3868 -2.6349
-1.6893 -2.0275 8.4503
-10.5314 1.7640 2.9596
Cs K Na
2 5 1
Direct
0.2069 0.7069 0.5858
0.7069 0.2069 0.5858
0.7251 0.7252 0.0553
0.7251 0.2195 0.0552
0.2194 0.7251 0.0553
0.2196 0.2196 0.0552
0.3102 0.3102 0.3795
0.1096 0.1096 0.7818
```

Computed properties:
Fermi-level density of states = 5.12 states/eV/cell
size of the total moment = 0.0 μB/f.u.
space-group type = Cm, No. 8
relative energy among the computed polymorphs = 0.38 eV per formula unit
formation energy = 7 kJ per mole of atoms



# CsK2Na10

A geometry-optimized CsK2Na10 structure (PBE, Alexandria).

```
CsK2Na10
1.0
10.1078 -0.2729 0.0000
-1.7665 9.9559 0.0000
0.0000 0.0000 12.5225
Cs K Na
2 4 20
Direct
0.8736 0.1264 0.7500
0.1264 0.8736 0.2500
0.5000 0.0000 0.0000
0.5000 0.0000 0.5000
0.0000 0.5000 0.5000
0.0000 0.5000 0.0000
0.3555 0.1506 0.7500
0.6445 0.8494 0.2500
0.8494 0.6445 0.7500
0.1506 0.3555 0.2500
0.5198 0.7476 0.7500
0.4802 0.2524 0.2500
0.2524 0.4802 0.7500
0.7476 0.5198 0.2500
0.8639 0.1361 0.3895
0.1361 0.8639 0.8895
0.8639 0.1361 0.1105
0.1361 0.8639 0.6105
0.5879 0.4121 0.9103
0.4121 0.5879 0.4103
0.5879 0.4121 0.5897
0.4121 0.5879 0.0897
0.7753 0.7753 0.0000
0.2247 0.2247 0.5000
0.2247 0.2247 0.0000
0.7753 0.7753 0.5000
```

Computed properties:
Fermi-level density of states = 16.56 states/eV/cell
size of the total moment = 0.0 μB/f.u.
space-group type = Cmcm, No. 63
formation energy = 4 kJ per mole of atoms



# Cs5K4Na4

A geometry-optimized Cs5K4Na4 structure (PBE, Alexandria).

```
Cs5K4Na4
1.0
6.2572 2.9890 10.8065
-6.6320 3.3532 -10.4709
-10.4276 -4.1379 6.2459
Cs K Na
5 4 4
Direct
0.6297 0.7036 0.3333
0.3703 0.2964 0.6667
0.0000 0.0000 0.0000
0.2964 0.6297 0.9261
0.7036 0.3703 0.0739
0.4185 0.8937 0.3122
0.8937 0.5815 0.4752
0.5815 0.1063 0.6878
0.1063 0.4185 0.5248
0.0600 0.7513 0.8114
0.9400 0.2487 0.1886
0.7513 0.9400 0.6913
0.2487 0.0600 0.3087
```

Computed properties:
Fermi-level density of states = 11.07 states/eV/cell
size of the total moment = 0.0 μB/f.u.
space-group type = I4/m, No. 87
formation energy = 1 kJ per mole of atoms



# CsK5Na5

A geometry-optimized CsK5Na5 structure (PBE, Alexandria).

```
CsK5Na5
1.0
7.3729 0.0000 0.0000
-3.6865 6.3851 0.0000
0.0000 0.0000 13.7248
Cs K Na
1 5 5
Direct
0.6667 0.3333 0.0000
0.3333 0.6667 0.7910
0.3333 0.6667 0.2090
0.6667 0.3333 0.6591
0.6667 0.3333 0.3409
0.0000 0.0000 0.0000
0.6617 0.8308 0.5000
0.0000 0.0000 0.7194
0.1692 0.8308 0.5000
0.1692 0.3383 0.5000
0.0000 0.0000 0.2806
```

Computed properties:
Fermi-level density of states = 6.32 states/eV/cell
size of the total moment = 0.0 μB/f.u.
space-group type = P-6m2, No. 187
formation energy = 2 kJ per mole of atoms



# Cs2K8Na

A geometry-optimized Cs2K8Na structure (PBE, Alexandria).

```
Cs2K8Na
1.0
8.3033 -0.1445 2.1030
0.9757 10.5886 5.9793
-0.5350 4.0502 11.4949
Cs K Na
2 8 1
Direct
0.4379 0.1073 0.1073
0.5621 0.8927 0.8927
0.0808 0.0927 0.5825
0.9192 0.4175 0.9073
0.5764 0.3075 0.3075
0.4236 0.6925 0.6925
0.0808 0.5825 0.0927
0.9192 0.9073 0.4175
0.2494 0.5009 0.5009
0.7506 0.4991 0.4991
0.0000 0.0000 0.0000
```

Computed properties:
Fermi-level density of states = 8.05 states/eV/cell
size of the total moment = 0.0 μB/f.u.
space-group type = C2/m, No. 12
formation energy = 1 kJ per mole of atoms



# CsK3Na

A geometry-optimized CsK3Na structure (PBE, Alexandria).

```
CsK3Na
1.0
-2.3896 6.5465 -2.3720
-5.2429 -0.0414 5.1675
4.5820 3.3667 4.6758
Cs Na K
1 1 3
Direct
0.5000 0.5000 0.5000
0.0000 0.0000 0.0000
0.0000 0.5000 0.0000
0.0000 0.0000 0.5000
0.5000 0.0000 0.0000
```

Computed properties:
Fermi-level density of states = 3.32 states/eV/cell
size of the total moment = 0.0 μB/f.u.
space-group type = Pm-3m, No. 221
relative energy among the computed polymorphs = 0.24 eV per formula unit
formation energy = 6 kJ per mole of atoms



# CsKNa5

A geometry-optimized CsKNa5 structure (PBE, Alexandria).

```
CsKNa5
1.0
-5.7508 -3.5056 -3.0790
3.0809 -10.3027 5.9756
-9.0904 4.2938 12.0899
Cs K Na
4 4 20
Direct
0.2500 0.7443 0.4370
0.7500 0.7557 0.9370
0.2500 0.2443 0.0630
0.7500 0.2557 0.5630
0.2500 0.3637 0.3632
0.7500 0.1363 0.8632
0.2500 0.8637 0.1368
0.7500 0.6363 0.6368
0.2500 0.0798 0.5174
0.7500 0.4202 0.0174
0.2500 0.5798 0.9826
0.7500 0.9202 0.4826
0.7500 0.8086 0.2615
0.2500 0.6914 0.7615
0.7500 0.3086 0.2385
0.2500 0.1914 0.7385
0.2500 0.4535 0.6115
0.7500 0.0465 0.1115
0.2500 0.9535 0.8885
0.7500 0.5465 0.3885
0.4990 0.9340 0.6851
0.5010 0.5660 0.1851
0.0010 0.4340 0.8149
0.9990 0.0660 0.3149
0.5010 0.0660 0.3149
0.4990 0.4340 0.8149
0.9990 0.5660 0.1851
0.0010 0.9340 0.6851
```

Computed properties:
Fermi-level density of states = 14.02 states/eV/cell
size of the total moment = 0.0 μB/f.u.
space-group type = Pnma, No. 62
relative energy among the computed polymorphs = 0.00 eV per formula unit
formation energy = 1 kJ per mole of atoms



- What is the formula in the seventh record?
  CsK2Na10



- Which formula does entry 3 have?
  Cs5KNa



- What is the formula in the second record?
  CsK3Na3